Here is an optimized crystal structure of ZnFeCoW from OQMD. Energies are from GGA-PBE.

The calculated volume comes out at 207 Å³ per cell. As for the formation enthalpy at 0 K: 0.32 eV per atom.

It has space group F-43m (No. 216), with a = 5.917 Å, b = 5.917 Å, c = 5.917 Å, α = 90.00°, β = 90.00° and γ = 90.00°. The distinct sites, in fractional coordinates, are Zn at (0.000, 0.000, 0.000), Fe at (0.250, 0.250, 0.250), Co at (0.000, 0.000, 0.500) and W at (0.250, 0.250, 0.750).